Entry 1:
Computed, not measured: NdPu2OsC4 after structural relaxation at the PBE level of DFT.

Lattice parameters (Å, degrees): 6.1582 6.1582 12.1574 90.00 90.00 146.59
Closest atoms and distances in Å follow each position.
Fractional positions:
Nd 0.0985 0.9015 0.7500  6 C 2.72-2.90
Nd 0.9015 0.0985 0.2500  6 C 2.72-2.90
Pu 0.3707 0.6293 0.5408  6 C 2.39-2.62
Pu 0.3707 0.6293 0.9592  6 C 2.39-2.62
Pu 0.6293 0.3707 0.0408  6 C 2.39-2.62
Pu 0.6293 0.3707 0.4592  6 C 2.39-2.62
Os 0.1627 0.8373 0.2500  4 C 1.91-2.04
Os 0.8373 0.1627 0.7500  4 C 1.91-2.04
C 0.0000 0.0000 0.0000  4 Pu 2.39
C 0.0000 0.0000 0.5000  4 Pu 2.39
C 0.2580 0.7420 0.1226  1 Os 1.91
C 0.2580 0.7420 0.3774  1 Os 1.91
C 0.4236 0.5764 0.7500  2 Os 2.04
C 0.5764 0.4236 0.2500  2 Os 2.04
C 0.7420 0.2580 0.6226  1 Os 1.91
C 0.7420 0.2580 0.8774  1 Os 1.91

Properties
The total energy comes out at -10.102 eV/atom. For the theoretical density, the calculation gives 11.39 g cm⁻³. As for the space group: No. 63. The calculation puts the density of states at the Fermi level at 28.9 states/eV per cell.

Entry 2:
Computed, not measured: ZrCuNiRh after structural relaxation at the PBE level of DFT.

Lattice parameters (Å, degrees): 3.6706 3.9394 4.0098 90.00 90.00 90.00
Closest atoms and distances in Å follow each position.
Fractional positions:
Zr 0.0000 0.0000 0.0000  4 Rh 2.69, 4 Ni 2.72, 4 Cu 2.81
Cu 0.0000 0.5000 0.5000  4 Ni 2.69, 4 Rh 2.72, 4 Zr 2.81
Ni 0.5000 0.0000 0.5000  4 Cu 2.69, 4 Zr 2.72, 4 Rh 2.81
Rh 0.5000 0.5000 0.0000  4 Zr 2.69, 4 Cu 2.72, 4 Ni 2.81

Properties
The total energy comes out at -6.923 eV/atom. For the theoretical density, the calculation gives 9.06 g cm⁻³. As for the space group: No. 47. The calculation puts the density of states at the Fermi level at 1.1 states/eV per cell.

Entry 3:
Computed, not measured: Y2ScS after structural relaxation at the PBE level of DFT.

Lattice parameters (Å, degrees): 7.1375 7.1375 7.1375 96.93 96.93 139.34
Closest atoms and distances in Å follow each position.
Fractional positions:
Y 0.3750 0.0007 0.1257  2 S 2.71
Y 0.7507 0.6250 0.6257  2 S 2.71
Y 0.8750 0.2493 0.8743  2 S 2.71
Y 0.9993 0.1250 0.3743  2 S 2.71
Sc 0.2500 0.7500 0.5000  2 S 2.48
Sc 0.5000 0.5000 0.0000  2 S 2.48
S 0.0000 0.0000 0.0000  2 Sc 2.48, 4 Y 2.71
S 0.7500 0.2500 0.5000  2 Sc 2.48, 4 Y 2.71

Properties
The total energy comes out at -6.467 eV/atom. As for the uncorrected formation energy: -239 kJ/mol of formula units. For the theoretical density, the calculation gives 3.81 g cm⁻³. As for the space group: No. 122. The calculation puts the density of states at the Fermi level at 15.1 states/eV per cell.

Entry 4:
Computed, not measured: ReSnP2Cl after structural relaxation at the PBE level of DFT.

Lattice parameters (Å, degrees): 5.0607 5.0607 4.9081 90.00 90.00 90.00
Closest atoms and distances in Å follow each position.
Fractional positions:
Re 0.0000 0.0000 0.0000  8 P 3.52, 4 Cl 3.58
Sn 0.5000 0.5000 0.5000  2 Cl 2.45, 4 P 2.53
P 0.0000 0.5000 0.5000  2 Sn 2.53
P 0.5000 0.0000 0.5000  2 Sn 2.53
Cl 0.5000 0.5000 0.0000  2 Sn 2.45

Properties
The total energy comes out at -4.228 eV/atom. The distance to the lowest polymorph of the same formula comes out at 1257 meV per atom. As for the uncorrected formation energy: 770 kJ/mol of formula units. For the theoretical density, the calculation gives 5.31 g cm⁻³. As for the space group: No. 123. The calculation puts the density of states at the Fermi level at 2.8 states/eV per cell.

Entry 5:
Computed, not measured: KCoSb2 after structural relaxation at the PBE level of DFT.

Lattice parameters (Å, degrees): 7.8253 7.8253 7.8253 30.30 30.30 30.30
Closest atoms and distances in Å follow each position.
Fractional positions:
K 0.0000 0.0000 0.0000  6 Sb 3.55-3.58, 1 Co 3.87
Co 0.8269 0.8269 0.8269  6 Sb 2.54-2.64
Sb 0.2130 0.2130 0.2130  3 Co 2.64
Sb 0.4515 0.4515 0.4515  3 Co 2.54

Properties
The total energy comes out at -4.288 eV/atom. The distance to the lowest polymorph of the same formula comes out at 0 meV per atom. As for the uncorrected formation energy: -68 kJ/mol of formula units. For the theoretical density, the calculation gives 5.25 g cm⁻³. As for the space group: No. 160. The calculation puts the density of states at the Fermi level at 3.9 states/eV per cell.

Entry 6:
Computed, not measured: NaTe4As2 after structural relaxation at the PBE level of DFT.

Lattice parameters (Å, degrees): 6.7875 6.7875 15.9146 90.00 90.00 145.36
Closest atoms and distances in Å follow each position.
Fractional positions:
Na 0.1019 0.8981 0.7500  6 Te 3.19-3.39
Na 0.8981 0.1019 0.2500  6 Te 3.19-3.39
Te 0.0000 0.0000 0.0000  4 As 3.02
Te 0.0000 0.0000 0.5000  4 As 3.02
Te 0.2965 0.7035 0.0999  3 As 2.83-2.87
Te 0.2965 0.7035 0.4001  3 As 2.83-2.87
Te 0.4113 0.5887 0.7500  2 As 2.90, 2 Na 3.19
Te 0.5887 0.4113 0.2500  2 As 2.90, 2 Na 3.19
Te 0.7035 0.2965 0.5999  3 As 2.83-2.87
Te 0.7035 0.2965 0.9001  3 As 2.83-2.87
As 0.3525 0.6475 0.5743  6 Te 2.83-3.02
As 0.3525 0.6475 0.9257  6 Te 2.83-3.02
As 0.6475 0.3525 0.0743  6 Te 2.83-3.02
As 0.6475 0.3525 0.4257  6 Te 2.83-3.02

Properties
The total energy comes out at -3.424 eV/atom. The distance to the lowest polymorph of the same formula comes out at 0 meV per atom. As for the uncorrected formation energy: -76 kJ/mol of formula units. For the theoretical density, the calculation gives 5.45 g cm⁻³. As for the space group: No. 63. The calculation puts the density of states at the Fermi level at 8.4 states/eV per cell.

Entry 7:
Computed, not measured: CeErAgS4 after structural relaxation at the PBE level of DFT.

Lattice parameters (Å, degrees): 7.9702 7.9702 7.9702 121.10 118.29 90.55
Closest atoms and distances in Å follow each position.
Fractional positions:
Ce 0.0000 0.0000 0.0000  6 S 2.73-2.75
Ce 0.5000 0.0000 0.5000  6 S 2.73-2.75
Er 0.5000 0.0000 0.0000  6 S 2.72
Er 0.5000 0.5000 0.5000  6 S 2.72
Ag 0.1163 0.3663 0.7500  4 S 2.61
Ag 0.8837 0.6337 0.2500  4 S 2.61
S 0.2575 0.2421 0.4846  1 Ag 2.61, 1 Er 2.72, 2 Ce 2.75
S 0.2575 0.7729 0.0154  1 Ag 2.61, 1 Er 2.72, 2 Ce 2.75
S 0.2625 0.2426 0.0199  1 Ag 2.61, 2 Er 2.72, 1 Ce 2.73
S 0.2773 0.7574 0.5199  1 Ag 2.61, 2 Er 2.72, 1 Ce 2.73
S 0.7227 0.2426 0.4801  1 Ag 2.61, 2 Er 2.72, 1 Ce 2.73
S 0.7375 0.7574 0.9801  1 Ag 2.61, 2 Er 2.72, 1 Ce 2.73
S 0.7425 0.2271 0.9846  1 Ag 2.61, 1 Er 2.72, 2 Ce 2.75
S 0.7425 0.7579 0.5154  1 Ag 2.61, 1 Er 2.72, 2 Ce 2.75

Properties
The total energy comes out at -5.777 eV/atom. As for the uncorrected formation energy: -1021 kJ/mol of formula units. For the theoretical density, the calculation gives 5.02 g cm⁻³. As for the space group: No. 74.

Entry 8:
Computed, not measured: FeHg2Pt after structural relaxation at the PBE level of DFT.

Lattice parameters (Å, degrees): 2.9819 2.9819 7.8630 90.00 90.00 90.00
Closest atoms and distances in Å follow each position.
Fractional positions:
Fe 0.0000 0.0000 0.0000  8 Hg 2.84, 4 Fe 2.98
Hg 0.5000 0.5000 0.2420  4 Fe 2.84, 4 Pt 2.93, 4 Hg 2.98
Hg 0.5000 0.5000 0.7580  4 Fe 2.84, 4 Pt 2.93, 4 Hg 2.98
Pt 0.0000 0.0000 0.5000  8 Hg 2.93, 4 Pt 2.98

Properties
The total energy comes out at -3.501 eV/atom. For the theoretical density, the calculation gives 15.49 g cm⁻³. As for the space group: No. 123. The calculation puts the density of states at the Fermi level at 2.6 states/eV per cell.

Entry 9:
Computed, not measured: Pa2Br6O after structural relaxation at the PBE level of DFT.

Lattice parameters (Å, degrees): 8.7473 8.7473 11.9965 119.89 119.89 22.36
Closest atoms and distances in Å follow each position.
Fractional positions:
Pa 0.0380 0.0380 0.1713  2 O 2.48
Pa 0.9620 0.9620 0.8287  2 O 2.48
Br 0.3072 0.3072 0.7734  2 Pa 2.93, 1 O 3.03
Br 0.3854 0.3854 0.1262  2 Pa 2.93, 1 O 3.03
Br 0.4122 0.4122 0.6039  2 Pa 2.92
Br 0.5878 0.5878 0.3961  2 Pa 2.92
Br 0.6146 0.6146 0.8738  2 Pa 2.93, 1 O 3.03
Br 0.6928 0.6928 0.2266  2 Pa 2.93, 1 O 3.03
O 0.5000 0.5000 0.0000  4 Pa 2.48

Properties
The total energy comes out at -5.348 eV/atom. As for the uncorrected formation energy: -1365 kJ/mol of formula units. For the theoretical density, the calculation gives 5.29 g cm⁻³. As for the space group: No. 12. The calculation puts the density of states at the Fermi level at 5.0 states/eV per cell.

Entry 10:
Computed, not measured: UPa2Ge2Ru5 after structural relaxation at the PBE level of DFT.

Lattice parameters (Å, degrees): 9.8918 9.8918 3.6655 90.00 90.00 90.00
Closest atoms and distances in Å follow each position.
Fractional positions:
U 0.0000 0.0000 0.0000  8 Ru 2.81
U 0.5000 0.5000 0.0000  8 Ru 2.81
Pa 0.1678 0.3322 0.0000  3 Ge 2.83-2.97, 2 Ru 2.98
Pa 0.3322 0.8322 0.0000  3 Ge 2.83-2.97, 2 Ru 2.98
Pa 0.6678 0.1678 0.0000  3 Ge 2.83-2.97, 2 Ru 2.98
Pa 0.8322 0.6678 0.0000  3 Ge 2.83-2.97, 2 Ru 2.98
Ge 0.1296 0.6296 0.0000  6 Ru 2.54-2.58, 1 Pa 2.83
Ge 0.3704 0.1296 0.0000  6 Ru 2.54-2.58, 1 Pa 2.83
Ge 0.6296 0.8704 0.0000  6 Ru 2.54-2.58, 1 Pa 2.83
Ge 0.8704 0.3704 0.0000  6 Ru 2.54-2.58, 1 Pa 2.83
Ru 0.0000 0.5000 0.5000  4 Ge 2.58
Ru 0.0625 0.7946 0.5000  2 Ge 2.54, 2 U 2.81
Ru 0.2054 0.0625 0.5000  2 Ge 2.54, 2 U 2.81
Ru 0.2946 0.5625 0.5000  2 Ge 2.54, 2 U 2.81
Ru 0.4375 0.2946 0.5000  2 Ge 2.54, 2 U 2.81
Ru 0.5000 0.0000 0.5000  4 Ge 2.58
Ru 0.5625 0.7054 0.5000  2 Ge 2.54, 2 U 2.81
Ru 0.7054 0.4375 0.5000  2 Ge 2.54, 2 U 2.81
Ru 0.7946 0.9375 0.5000  2 Ge 2.54, 2 U 2.81
Ru 0.9375 0.2054 0.5000  2 Ge 2.54, 2 U 2.81

Properties
The total energy comes out at -8.967 eV/atom. For the theoretical density, the calculation gives 12.51 g cm⁻³. As for the space group: No. 127. The calculation puts the density of states at the Fermi level at 23.7 states/eV per cell.

Entry 11:
Computed, not measured: LaTl3F after structural relaxation at the PBE level of DFT.

Lattice parameters (Å, degrees): 6.3054 6.3054 6.3054 90.00 90.00 90.00
Closest atoms and distances in Å follow each position.
Fractional positions:
La 0.0000 0.0000 0.0000  6 Tl 3.15
Tl 0.0000 0.0000 0.5000  2 La 3.15
Tl 0.0000 0.5000 0.0000  2 La 3.15
Tl 0.5000 0.0000 0.0000  2 La 3.15
F 0.5000 0.5000 0.5000  12 Tl 4.46

Properties
The total energy comes out at -2.550 eV/atom. The distance to the lowest polymorph of the same formula comes out at 949 meV per atom. As for the uncorrected formation energy: 111 kJ/mol of formula units. For the theoretical density, the calculation gives 5.11 g cm⁻³. As for the space group: No. 221. The calculation puts the density of states at the Fermi level at 6.9 states/eV per cell.

Entry 12:
Computed, not measured: MnGeCSe after structural relaxation at the PBE level of DFT.

Lattice parameters (Å, degrees): 3.0415 3.0415 7.6817 90.00 90.00 120.00
Closest atoms and distances in Å follow each position.
Fractional positions:
Mn 0.0000 0.0000 0.0000  3 C 2.04
Ge 0.0000 0.0000 0.6778  3 C 2.27, 1 Mn 2.47
C 0.3333 0.6667 0.8641  3 Mn 2.04, 3 Ge 2.27
Se 0.3333 0.6667 0.2201  3 Mn 2.44

Properties
The total energy comes out at -6.264 eV/atom. The distance to the lowest polymorph of the same formula comes out at 51 meV per atom. As for the uncorrected formation energy: 139 kJ/mol of formula units. For the theoretical density, the calculation gives 5.90 g cm⁻³. As for the space group: No. 156. The calculation puts the density of states at the Fermi level at 1.8 states/eV per cell.